No. 1
# Sn3HgB, single point on PBEsol structure, DFT meta-GGA SCAN
# Formation energy (kJ per mole of atoms): 154
# Density of states at the Fermi level (states/eV/atom): 0.629
data_Sn3HgB
_symmetry_space_group_name_H-M 'P m -3 m'
_symmetry_Int_Tables_number 221
_symmetry_space_group_name_Hall '-P 4 2 3'
_cell_length_a 5.445
_cell_length_b 5.445
_cell_length_c 5.445
_cell_angle_alpha 90.00
_cell_angle_beta 90.00
_cell_angle_gamma 90.00
loop_
_atom_site_label
_atom_site_type_symbol
_atom_site_fract_x
_atom_site_fract_y
_atom_site_fract_z
Sn1 Sn 0.000 0.000 0.500
Hg1 Hg 0.000 0.000 0.000
B1 B 0.500 0.500 0.500

---

No. 2
# Cu3SnSe, single point on PBEsol structure, DFT meta-GGA SCAN
# Density of states at the Fermi level (states/eV/atom): 0.584
# E_form (uncorrected) (eV per atom): 0.52
data_Cu3SnSe
_symmetry_space_group_name_H-M 'P m -3 m'
_symmetry_Int_Tables_number 221
_symmetry_space_group_name_Hall '-P 4 2 3'
_cell_length_a 4.563
_cell_length_b 4.563
_cell_length_c 4.563
_cell_angle_alpha 90.00
_cell_angle_beta 90.00
_cell_angle_gamma 90.00
loop_
_atom_site_label
_atom_site_type_symbol
_atom_site_fract_x
_atom_site_fract_y
_atom_site_fract_z
Cu1 Cu 0.000 0.000 0.500
Sn1 Sn 0.500 0.500 0.500
Se1 Se 0.000 0.000 0.000

---

No. 3
# V12PbO30, single point on PBEsol structure, DFT meta-GGA SCAN
# Density of states at the Fermi level (states/eV/atom): 0.109
# E_form (uncorrected) (eV per atom): -2.46
data_V12PbO30
_symmetry_space_group_name_H-M 'P 1'
_symmetry_Int_Tables_number 1
_cell_length_a 7.190
_cell_length_b 7.954
_cell_length_c 10.082
_cell_angle_alpha 109.34
_cell_angle_beta 90.01
_cell_angle_gamma 103.12
loop_
_symmetry_equiv_pos_as_xyz
'x,y,z'
loop_
_atom_site_label
_atom_site_type_symbol
_atom_site_fract_x
_atom_site_fract_y
_atom_site_fract_z
V1 V 0.000 0.000 0.000
V2 V 0.025 0.097 0.692
V3 V 0.109 0.440 0.989
V4 V 0.226 0.906 0.218
V5 V 0.310 0.235 0.508
V6 V 0.336 0.345 0.205
V7 V 0.498 0.999 0.001
V8 V 0.523 0.098 0.694
V9 V 0.609 0.437 0.986
V10 V 0.725 0.902 0.215
V11 V 0.805 0.229 0.505
V12 V 0.837 0.347 0.207
Pb1 Pb 0.164 0.665 0.692
O1 O 0.035 0.144 0.880
O2 O 0.045 0.176 0.524
O3 O 0.073 0.297 0.153
O4 O 0.111 0.451 0.830
O5 O 0.167 0.670 0.100
O6 O 0.221 0.891 0.372
O7 O 0.261 0.047 0.046
O8 O 0.291 0.164 0.679
O9 O 0.297 0.193 0.320
O10 O 0.350 0.403 0.028
O11 O 0.366 0.455 0.569
O12 O 0.380 0.541 0.323
O13 O 0.433 0.799 0.881
O14 O 0.456 0.879 0.635
O15 O 0.484 0.940 0.176
O16 O 0.536 0.145 0.882
O17 O 0.542 0.171 0.521
O18 O 0.575 0.299 0.158
O19 O 0.614 0.448 0.831
O20 O 0.667 0.670 0.102
O21 O 0.724 0.895 0.373
O22 O 0.758 0.035 0.040
O23 O 0.787 0.151 0.674
O24 O 0.799 0.194 0.318
O25 O 0.851 0.403 0.028
O26 O 0.860 0.449 0.570
O27 O 0.890 0.544 0.324
O28 O 0.964 0.799 0.881
O29 O 0.981 0.878 0.632
O30 O 0.985 0.939 0.175